VASP calculation (PBE) on a relaxed In12Sn6Pb crystal.

Cell: 8.939 8.939 8.939 Å, 109.47 109.47 109.47°
Fractional positions:
In1 0.050 0.251 0.799
In2 0.201 0.452 0.251
In3 0.201 0.950 0.749
In4 0.251 0.201 0.452
In5 0.251 0.799 0.050
In6 0.452 0.251 0.201
In7 0.548 0.749 0.799
In8 0.749 0.201 0.950
In9 0.749 0.799 0.548
In10 0.799 0.050 0.251
In11 0.799 0.548 0.749
In12 0.950 0.749 0.201
Sn1 0.145 0.500 0.645
Sn2 0.355 0.855 0.500
Sn3 0.500 0.355 0.855
Sn4 0.500 0.645 0.145
Sn5 0.645 0.145 0.500
Sn6 0.855 0.500 0.355
Pb1 0.000 0.000 0.000

The excess energy over the best structure of this formula in the dataset is 1.4 kJ/mol of atoms. As for the formation energy: 0.086 eV per atom. The calculation puts the total magnetization at 0.00 μB per cell. The calculation puts the mass density at 6.9 g/cm³.



VASP calculation (PBE) on a relaxed In6SnPb3 crystal.

Cell: 10.509 5.085 11.617 Å, 90.00 105.43 90.00°
Fractional positions:
In1 0.006 0.250 0.387
In2 0.104 0.250 0.045
In3 0.265 0.750 0.508
In4 0.343 0.250 0.924
In5 0.421 0.750 0.795
In6 0.474 0.250 0.601
In7 0.526 0.750 0.399
In8 0.579 0.250 0.205
In9 0.657 0.750 0.076
In10 0.735 0.250 0.492
In11 0.896 0.750 0.955
In12 0.994 0.750 0.613
Sn1 0.187 0.250 0.653
Sn2 0.813 0.750 0.347
Pb1 0.071 0.750 0.228
Pb2 0.311 0.250 0.314
Pb3 0.345 0.750 0.108
Pb4 0.655 0.250 0.892
Pb5 0.689 0.750 0.686
Pb6 0.929 0.250 0.772

The excess energy over the best structure of this formula in the dataset is 0.0 kJ/mol of atoms. As for the formation energy: 0.051 eV per atom. The calculation puts the total magnetization at 0.00 μB per cell. The calculation puts the mass density at 7.9 g/cm³.



VASP calculation (PBE) on a relaxed In12Sn3Pb5 crystal.

Cell: 15.350 15.350 15.350 Å, 109.47 109.47 109.47°
Fractional positions:
In1 0.067 0.234 0.139
In2 0.067 0.333 0.929
In3 0.071 0.639 0.405
In4 0.071 0.933 0.667
In5 0.095 0.734 0.667
In6 0.095 0.861 0.429
In7 0.139 0.067 0.234
In8 0.139 0.571 0.905
In9 0.167 0.234 0.595
In10 0.167 0.433 0.571
In11 0.234 0.139 0.067
In12 0.234 0.595 0.167
In13 0.266 0.333 0.905
In14 0.266 0.433 0.361
In15 0.333 0.905 0.266
In16 0.333 0.929 0.067
In17 0.361 0.266 0.433
In18 0.361 0.595 0.929
In19 0.405 0.071 0.639
In20 0.405 0.833 0.766
In21 0.429 0.095 0.861
In22 0.429 0.833 0.567
In23 0.433 0.361 0.266
In24 0.433 0.571 0.167
In25 0.567 0.429 0.833
In26 0.567 0.639 0.734
In27 0.571 0.167 0.433
In28 0.571 0.905 0.139
In29 0.595 0.167 0.234
In30 0.595 0.929 0.361
In31 0.639 0.405 0.071
In32 0.639 0.734 0.567
In33 0.667 0.071 0.933
In34 0.667 0.095 0.734
In35 0.734 0.567 0.639
In36 0.734 0.667 0.095
In37 0.766 0.405 0.833
In38 0.766 0.861 0.933
In39 0.833 0.567 0.429
In40 0.833 0.766 0.405
In41 0.861 0.429 0.095
In42 0.861 0.933 0.766
In43 0.905 0.139 0.571
In44 0.905 0.266 0.333
In45 0.929 0.067 0.333
In46 0.929 0.361 0.595
In47 0.933 0.667 0.071
In48 0.933 0.766 0.861
Sn1 0.125 0.250 0.375
Sn2 0.125 0.375 0.750
Sn3 0.250 0.375 0.125
Sn4 0.250 0.875 0.625
Sn5 0.375 0.125 0.250
Sn6 0.375 0.750 0.125
Sn7 0.625 0.250 0.875
Sn8 0.625 0.875 0.750
Sn9 0.750 0.125 0.375
Sn10 0.750 0.625 0.875
Sn11 0.875 0.625 0.250
Sn12 0.875 0.750 0.625
Pb1 0.000 0.000 0.000
Pb2 0.000 0.000 0.500
Pb3 0.000 0.500 0.000
Pb4 0.000 0.500 0.500
Pb5 0.125 0.750 0.875
Pb6 0.125 0.875 0.250
Pb7 0.250 0.125 0.875
Pb8 0.250 0.625 0.375
Pb9 0.375 0.250 0.625
Pb10 0.375 0.625 0.750
Pb11 0.500 0.000 0.000
Pb12 0.500 0.000 0.500
Pb13 0.500 0.500 0.000
Pb14 0.500 0.500 0.500
Pb15 0.625 0.375 0.250
Pb16 0.625 0.750 0.375
Pb17 0.750 0.375 0.625
Pb18 0.750 0.875 0.125
Pb19 0.875 0.125 0.750
Pb20 0.875 0.250 0.125

As for the formation energy: 0.187 eV per atom. The calculation puts the total magnetization at 0.00 μB per cell. The calculation puts the mass density at 6.6 g/cm³.



VASP calculation (PBE) on a relaxed InSnPb crystal.

Cell: 5.230 5.230 5.230 Å, 60.00 60.00 60.00°
Fractional positions:
In1 0.000 0.000 0.000
Sn1 0.250 0.250 0.250
Pb1 0.500 0.500 0.500

The excess energy over the best structure of this formula in the dataset is 7.7 kJ/mol of atoms. As for the formation energy: 0.098 eV per atom. The calculation puts the total magnetization at 0.00 μB per cell. The calculation puts the mass density at 7.2 g/cm³.



VASP calculation (PBE) on a relaxed In16SnPb12 crystal.

Cell: 10.274 10.274 10.421 Å, 108.83 108.83 108.22°
Fractional positions:
In1 0.000 0.000 0.000
In2 0.000 0.000 0.339
In3 0.259 0.584 0.927
In4 0.301 0.718 0.643
In5 0.351 0.351 0.691
In6 0.405 0.989 0.031
In7 0.410 0.685 0.333
In8 0.584 0.259 0.927
In9 0.585 0.585 0.600
In10 0.650 0.998 0.342
In11 0.685 0.410 0.333
In12 0.694 0.993 0.756
In13 0.718 0.301 0.643
In14 0.989 0.405 0.031
In15 0.993 0.694 0.756
In16 0.998 0.650 0.342
Sn1 0.301 0.301 0.065
Pb1 0.003 0.199 0.736
Pb2 0.172 0.803 0.152
Pb3 0.193 0.390 0.342
Pb4 0.199 0.003 0.736
Pb5 0.390 0.193 0.342
Pb6 0.393 0.997 0.541
Pb7 0.593 0.792 0.934
Pb8 0.595 0.595 0.136
Pb9 0.792 0.593 0.934
Pb10 0.803 0.172 0.152
Pb11 0.808 0.808 0.514
Pb12 0.997 0.393 0.541

As for the formation energy: 0.047 eV per atom. The calculation puts the total magnetization at 0.00 μB per cell. The calculation puts the mass density at 8.5 g/cm³.



VASP calculation (PBE) on a relaxed InSnPb4 crystal.

Cell: 3.591 3.591 14.062 Å, 90.00 90.00 90.00°
Fractional positions:
In1 0.000 0.000 0.000
Sn1 0.500 0.500 0.500
Pb1 0.000 0.000 0.335
Pb2 0.000 0.000 0.665
Pb3 0.500 0.500 0.164
Pb4 0.500 0.500 0.836

The excess energy over the best structure of this formula in the dataset is 0.0 kJ/mol of atoms. As for the formation energy: 0.013 eV per atom. The calculation puts the total magnetization at 0.00 μB per cell. The calculation puts the mass density at 9.7 g/cm³.



VASP calculation (PBE) on a relaxed InSn5Pb6 crystal.

Cell: 4.488 10.564 7.814 Å, 90.00 105.72 90.00°
Fractional positions:
In1 0.000 0.000 0.000
Sn1 0.000 0.500 0.000
Sn2 0.329 0.000 0.662
Sn3 0.333 0.500 0.665
Sn4 0.667 0.500 0.335
Sn5 0.671 0.000 0.338
Pb1 0.167 0.250 0.334
Pb2 0.167 0.750 0.334
Pb3 0.500 0.253 0.000
Pb4 0.500 0.747 0.000
Pb5 0.833 0.250 0.666
Pb6 0.833 0.750 0.666

As for the formation energy: 0.044 eV per atom. The calculation puts the total magnetization at 0.00 μB per cell. The calculation puts the mass density at 9.1 g/cm³.



VASP calculation (PBE) on a relaxed In4Sn5Pb crystal.

Cell: 3.827 3.827 18.971 Å, 90.00 90.00 90.00°
Fractional positions:
In1 0.000 0.000 0.097
In2 0.000 0.000 0.294
In3 0.000 0.000 0.706
In4 0.000 0.000 0.903
Sn1 0.500 0.500 0.000
Sn2 0.500 0.500 0.196
Sn3 0.500 0.500 0.390
Sn4 0.500 0.500 0.610
Sn5 0.500 0.500 0.804
Pb1 0.000 0.000 0.500

As for the formation energy: 0.057 eV per atom. The calculation puts the total magnetization at 0.00 μB per cell. The calculation puts the mass density at 7.5 g/cm³.